Entry 1:
First-principles (PBE) data for a geometry-optimized TbNi5Hg structure, as listed in Alexandria.

It has space group Pnma (No. 62), with a = 8.120 Å, b = 4.847 Å, c = 10.337 Å, α = 90.00°, β = 90.00° and γ = 90.00°. The asymmetric unit holds Tb at (0.247, 0.250, 0.061), Ni at (0.048, 0.750, 0.111), Ni at (0.068, 0.000, 0.314), Ni at (0.079, 0.250, 0.517), Ni at (0.188, 0.250, 0.739) and Hg at (0.136, 0.750, 0.866).

Its calculated formation energy is -0.223 eV/atom. Its magnetization is 4.4 μB per cell.

***

Entry 2:
First-principles (PBE) data for a geometry-optimized PdPb2Br2O2 structure, as listed in Alexandria.

It has space group C2/m (No. 12), with a = 11.973 Å, b = 3.998 Å, c = 7.777 Å, α = 90.00°, β = 120.73° and γ = 90.00°. The asymmetric unit holds Pd at (0.000, 0.000, 0.000), Pb at (0.192, 0.000, 0.767), Br at (0.057, 0.500, 0.290) and O at (0.188, 0.000, 0.067).

Its magnetization is 0.0 μB per cell. As for the formation energy from raw total energies: -797 meV per atom.

***

Entry 3:
First-principles (PBE) data for a geometry-optimized LaRhPb2 structure, as listed in Alexandria.

It has space group Amm2 (No. 38), with a = 3.903 Å, b = 4.345 Å, c = 12.863 Å, α = 90.00°, β = 90.00° and γ = 90.00°. The asymmetric unit holds La at (0.000, 0.000, 0.000), Rh at (0.500, 0.000, 0.545), Pb at (0.000, 0.000, 0.716) and Pb at (0.500, 0.000, 0.327).

Its calculated formation energy is -0.404 eV/atom. Its magnetization is 0.0 μB per cell.

***

Entry 4:
First-principles (PBE) data for a geometry-optimized CaMnPb structure, as listed in Alexandria.

It has space group P3m1 (No. 156), with a = 3.6030 Å, b = 3.6030 Å, c = 7.3331 Å, α = 90.00°, β = 90.00° and γ = 120.00°. The asymmetric unit holds Ca at (0.0000, 0.0000, 0.0000), Mn at (0.6667, 0.3333, 0.3450) and Pb at (0.3333, 0.6667, 0.6345).

Its calculated formation energy is 0.346 eV/atom. Its magnetization is 4.2 μB per cell.

***

Entry 5:
First-principles (PBE) data for a geometry-optimized CdMo2OsPb structure, as listed in Alexandria.

It has space group P4/mmm (No. 123), with a = 5.077 Å, b = 5.077 Å, c = 5.032 Å, α = 90.00°, β = 90.00° and γ = 90.00°. The asymmetric unit holds Cd at (0.000, 0.000, 0.000), Mo at (0.000, 0.500, 0.500), Os at (0.500, 0.500, 0.000) and Pb at (0.000, 0.000, 0.500).

Its calculated formation energy is 2.870 eV/atom. Its magnetization is 5.8 μB per cell.

***

Entry 6:
First-principles (PBE) data for a geometry-optimized DyAlFe2H8 structure, as listed in Alexandria.

It has space group P-3m1 (No. 164), with a = 4.3604 Å, b = 4.3604 Å, c = 6.3604 Å, α = 90.00°, β = 90.00° and γ = 120.00°. The asymmetric unit holds Dy at (0.0000, 0.0000, 0.0000), Al at (0.0000, 0.0000, 0.5000), Fe at (0.3333, 0.6667, 0.3521), H at (0.1448, 0.2895, 0.2811) and H at (0.3333, 0.6667, 0.1034).

Its magnetization is 0.0 μB per cell. The calculation puts the uncorrected energy at -4.278 eV per atom.

***

Entry 7:
First-principles (PBE) data for a geometry-optimized Mn6FeRu structure, as listed in Alexandria.

It has space group Cmmm (No. 65), with a = 7.163 Å, b = 7.255 Å, c = 3.635 Å, α = 90.00°, β = 90.00° and γ = 90.00°. The asymmetric unit holds Mn at (0.000, 0.242, 0.000), Mn at (0.244, 0.000, 0.000), Mn at (0.250, 0.250, 0.500), Fe at (0.000, 0.000, 0.500) and Ru at (0.000, 0.500, 0.500).

Its calculated formation energy is 0.020 eV/atom. Its magnetization is 3.1 μB per cell.

***

Entry 8:
First-principles (PBE) data for a geometry-optimized K2CaW structure, as listed in Alexandria.

It has space group P4/mmm (No. 123), with a = 4.913 Å, b = 4.913 Å, c = 6.266 Å, α = 90.00°, β = 90.00° and γ = 90.00°. The asymmetric unit holds K at (0.000, 0.500, 0.000), Ca at (0.000, 0.000, 0.500) and W at (0.500, 0.500, 0.500).

Its calculated formation energy is 1.422 eV/atom. Its magnetization is 4.3 μB per cell.

***

Entry 9:
First-principles (PBE) data for a geometry-optimized SmGa4Au structure, as listed in Alexandria.

It has space group C2/m (No. 12), with a = 11.299 Å, b = 4.189 Å, c = 6.139 Å, α = 90.00°, β = 122.71° and γ = 90.00°. The asymmetric unit holds Sm at (0.000, 0.000, 0.000), Ga at (0.152, 0.500, 0.484), Ga at (0.231, 0.500, 0.115) and Au at (0.000, 0.000, 0.500).

Its calculated formation energy is -0.396 eV/atom. Its magnetization is 0.0 μB per cell.

***

Entry 10:
First-principles (PBE) data for a geometry-optimized TlOsPb2 structure, as listed in Alexandria.

It has space group P2/m (No. 10), with a = 3.355 Å, b = 3.364 Å, c = 8.959 Å, α = 90.00°, β = 90.12° and γ = 90.00°. The asymmetric unit holds Tl at (0.000, 0.000, 0.000), Os at (0.000, 0.000, 0.500) and Pb at (0.500, 0.500, 0.309).

Its calculated formation energy is 0.471 eV/atom. Its magnetization is 0.0 μB per cell.

***

Entry 11:
First-principles (PBE) data for a geometry-optimized CsLiAl2Cl8 structure, as listed in Alexandria.

It has space group R-3 (No. 148, hexagonal axes), with a = 6.4844 Å, b = 6.4844 Å, c = 29.2313 Å, α = 90.00°, β = 90.00° and γ = 120.00°. The asymmetric unit holds Cs at (0.0000, 0.0000, 0.0000), Li at (0.0000, 0.0000, 0.5000), Al at (0.0000, 0.0000, 0.2424), Cl at (0.0000, 0.0000, 0.3166) and Cl at (0.0094, 0.3539, 0.8873).

Its magnetization is 0.0 μB per cell. As for the formation energy from raw total energies: -1720 meV per atom.

***

Entry 12:
First-principles (PBE) data for a geometry-optimized Ta5Mo4Pt structure, as listed in Alexandria.

It has space group P4/mmm (No. 123), with a = 3.257 Å, b = 3.257 Å, c = 15.948 Å, α = 90.00°, β = 90.00° and γ = 90.00°. The asymmetric unit holds Ta at (0.000, 0.000, 0.000), Ta at (0.000, 0.000, 0.201), Ta at (0.000, 0.000, 0.397), Mo at (0.500, 0.500, 0.101), Mo at (0.500, 0.500, 0.304) and Pt at (0.500, 0.500, 0.500).

Its calculated formation energy is -0.272 eV/atom. Its magnetization is 0.0 μB per cell.

***

Entry 13:
First-principles (PBE) data for a geometry-optimized CaAl2Re structure, as listed in Alexandria.

It has space group R-3m (No. 166, hexagonal axes), with a = 3.0950 Å, b = 3.0950 Å, c = 27.5873 Å, α = 90.00°, β = 90.00° and γ = 120.00°. The asymmetric unit holds Ca at (0.0000, 0.0000, 0.0000), Al at (0.0000, 0.0000, 0.2366) and Re at (0.0000, 0.0000, 0.5000).

Its calculated formation energy is 0.197 eV/atom. Its magnetization is 0.0 μB per cell.

***

Entry 14:
First-principles (PBE) data for a geometry-optimized PrSm5Ho2Th structure, as listed in Alexandria.

It has space group Cmc2_1 (No. 36), with a = 5.698 Å, b = 20.348 Å, c = 10.527 Å, α = 90.00°, β = 90.00° and γ = 90.00°. The asymmetric unit holds Pr at (0.000, 0.088, 0.000), Sm at (0.000, 0.023, 0.293), Sm at (0.000, 0.112, 0.581), Sm at (0.000, 0.205, 0.260), Sm at (0.000, 0.224, 0.869), Sm at (0.000, 0.484, 0.577), Ho at (0.000, 0.385, 0.874), Ho at (0.000, 0.386, 0.287) and Th at (0.000, 0.301, 0.568).

Its calculated formation energy is 0.164 eV/atom. Its magnetization is 0.0 μB per cell.

***

Entry 15:
First-principles (PBE) data for a geometry-optimized Fe2TcP structure, as listed in Alexandria.

It has space group I4/mmm (No. 139), with a = 3.552 Å, b = 3.552 Å, c = 7.368 Å, α = 90.00°, β = 90.00° and γ = 90.00°. The asymmetric unit holds Fe at (0.000, 0.500, 0.250), Tc at (0.000, 0.000, 0.000) and P at (0.000, 0.000, 0.500).

Its calculated formation energy is -0.011 eV/atom. Its magnetization is 3.2 μB per cell.

***

Entry 16:
First-principles (PBE) data for a geometry-optimized LuAl8Cu4 structure, as listed in Alexandria.

It has space group I4/mmm (No. 139), with a = 8.811 Å, b = 8.811 Å, c = 5.092 Å, α = 90.00°, β = 90.00° and γ = 90.00°. The asymmetric unit holds Lu at (0.000, 0.000, 0.000), Al at (0.000, 0.217, 0.500), Al at (0.000, 0.347, 0.000) and Cu at (0.250, 0.250, 0.250).

Its calculated formation energy is -0.289 eV/atom. Its magnetization is 0.0 μB per cell.

***

Entry 17:
First-principles (PBE) data for a geometry-optimized HfThU2P4 structure, as listed in Alexandria.

It has space group P2/m (No. 10), with a = 6.810 Å, b = 3.913 Å, c = 6.839 Å, α = 90.00°, β = 109.05° and γ = 90.00°. The asymmetric unit holds Hf at (0.000, 0.000, 0.000), Th at (0.500, 0.500, 0.000), U at (0.000, 0.500, 0.500), U at (0.500, 0.000, 0.500), P at (0.232, 0.000, 0.746) and P at (0.233, 0.500, 0.244).

Its calculated formation energy is -1.167 eV/atom. Its magnetization is 4.3 μB per cell.

***

Entry 18:
First-principles (PBE) data for a geometry-optimized HgMo3 structure, as listed in Alexandria.

It has space group P6_3/mmc (No. 194), with a = 5.8219 Å, b = 5.8219 Å, c = 4.6446 Å, α = 90.00°, β = 90.00° and γ = 120.00°. The asymmetric unit holds Hg at (0.3333, 0.6667, 0.2500) and Mo at (0.1511, 0.3021, 0.7500).

Its calculated formation energy is 0.320 eV/atom. Its magnetization is 0.0 μB per cell.

***

Entry 19:
First-principles (PBE) data for a geometry-optimized HfScTaB2 structure, as listed in Alexandria.

It has space group P4/mmm (No. 123), with a = 4.251 Å, b = 4.251 Å, c = 4.715 Å, α = 90.00°, β = 90.00° and γ = 90.00°. The asymmetric unit holds Hf at (0.000, 0.000, 0.000), Sc at (0.000, 0.000, 0.500), Ta at (0.500, 0.500, 0.000) and B at (0.000, 0.500, 0.500).

Its calculated formation energy is 1.887 eV/atom. Its magnetization is 0.0 μB per cell.

***

Entry 20:
First-principles (PBE) data for a geometry-optimized K2NaCa2 structure, as listed in Alexandria.

It has space group I4/mmm (No. 139), with a = 5.089 Å, b = 5.089 Å, c = 21.220 Å, α = 90.00°, β = 90.00° and γ = 90.00°. The asymmetric unit holds K at (0.000, 0.500, 0.250), Na at (0.000, 0.000, 0.000) and Ca at (0.000, 0.000, 0.413).

Its calculated formation energy is 0.336 eV/atom. Its magnetization is 0.0 μB per cell.